*a*
Compound: TbDy2Rh
Source: the Alexandria database
Functional: GGA-PBE
Structure: relaxed

Results
Magnetization   0.41 μB/cell

Cell and atoms, written as POSCAR:
```
TbDy2Rh
1.0
3.6277 0.0000 0.0000
1.8139 3.1417 0.0000
1.8139 1.0472 10.5195
Dy Tb Rh
2 1 1
Cartesian
5.4416 3.1417 3.4925 Dy
1.8139 1.0472 7.0269 Dy
0.0000 0.0000 0.0000 Tb
3.6277 2.0945 5.2597 Rh
```


*b*
Compound: TbDy2Rh
Source: the Alexandria database
Functional: GGA-PBE
Structure: relaxed

Results
Magnetization   0.00 μB/cell

Cell and atoms, written as POSCAR:
```
TbDy2Rh
1.0
-3.6977 0.6495 -5.0734
-3.4925 -5.9982 1.7776
-6.1445 5.0982 5.1310
Rh Dy Tb
4 8 4
Cartesian
-3.0880 -0.9796 1.6642 Rh
-6.2488 -3.7303 0.6121 Rh
-7.0858 3.4798 1.2231 Rh
-10.2467 0.7291 0.1710 Rh
-5.6778 -1.7269 2.5757 Dy
-9.9462 3.3759 1.1713 Dy
-11.1072 0.2740 2.8632 Dy
-8.8178 -1.6256 0.9514 Dy
-3.3884 -3.6264 0.6639 Dy
-7.6568 1.4763 -0.7405 Dy
-4.5169 1.3751 0.8838 Dy
-2.2275 -0.5245 -1.0280 Dy
-4.8465 1.6249 -3.0296 Tb
-7.5720 1.2695 2.8371 Tb
-5.7627 -1.5201 -1.0019 Tb
-8.4881 -1.8754 4.8648 Tb
```


*c*
Compound: TbDy2Rh
Source: the Alexandria database
Functional: GGA-PBE
Structure: relaxed

Results
Magnetization   0.00 μB/cell

Cell and atoms, written as POSCAR:
```
TbDy2Rh
1.0
-1.4835 2.4068 2.0664
-3.1502 -1.3855 -0.6478
0.9154 -5.2450 6.7663
Dy Rh Tb
2 1 1
Cartesian
0.7418 -4.2503 5.4830 Dy
0.1736 -0.9948 1.2833 Dy
-2.3168 0.5106 0.7093 Rh
-1.8591 -2.1119 4.0924 Tb
```


*d*
Compound: TbDy2Rh
Source: the Alexandria database
Functional: GGA-PBE
Structure: relaxed

Results
Magnetization   0.37 μB/cell

Cell and atoms, written as POSCAR:
```
TbDy2Rh
1.0
-3.6217 -1.2412 0.0527
-1.7518 -0.6523 3.3415
-4.7360 7.9677 1.2663
Tb Dy Rh
1 2 1
Cartesian
-5.0437 3.0049 2.3298 Tb
-4.2111 6.4350 1.2423 Dy
-2.3221 0.9192 1.1557 Dy
-3.5873 -1.2479 2.2630 Rh
```


Q: Which of them is the least stable? A: *a*.


*a*
Compound: Tb3DyRh
Source: the Alexandria database
Functional: GGA-PBE
Structure: relaxed

Results
Magnetization   0.00 μB/cell

Cell and atoms, written as POSCAR:
```
Tb3DyRh
1.0
6.1611 -0.0003 -0.0001
0.0001 6.5157 -0.0015
0.0001 0.0005 7.5826
Dy Tb Rh
2 6 2
Cartesian
5.7473 0.1621 1.5220 Dy
2.6669 2.1369 5.3143 Dy
2.6212 5.6259 3.4164 Tb
5.6586 0.1636 5.3133 Tb
2.5777 2.1350 1.5231 Tb
5.7007 3.1885 3.4169 Tb
2.6207 5.6260 7.2077 Tb
5.7024 3.1888 7.2090 Tb
4.1655 4.4143 1.5207 Rh
1.0851 4.3999 5.3120 Rh
```


*b*
Compound: Tb3DyRh
Source: the Alexandria database
Functional: GGA-PBE
Structure: relaxed

Results
Magnetization   0.01 μB/cell

Cell and atoms, written as POSCAR:
```
Tb3DyRh
1.0
5.4235 0.0000 0.0000
0.0000 5.4235 0.0000
0.0000 0.0000 5.4235
Tb Rh Dy
3 1 1
Cartesian
0.0000 2.7117 0.0000 Tb
0.0000 0.0000 2.7117 Tb
2.7117 0.0000 0.0000 Tb
0.0000 0.0000 0.0000 Rh
2.7117 2.7117 2.7117 Dy
```


Q: Which of them is the least stable? A: *b*.